No. 1
Crystalline Sc2AlSe at its relaxed geometry, computed with PBE.

Its uncorrected formation energy is -2.80 eV per formula unit. For the density of states at the Fermi level, the calculation gives 2.27 states/eV/f.u. The value obtained for the total energy is -5.672 eV per atom. The energy above the most stable polymorph in this dataset is 86 kJ/mol of formula units.

The structure belongs to space group Imm2 (No. 44); the cell edges are 3.4708, 4.4044 and 10.8078 Å and the angles 90.00°, 90.00° and 90.00°. The inequivalent atoms are Sc at (0.0000, 0.0000, 0.0000), Sc at (0.0000, 0.5000, 0.2394), Al at (0.0000, 0.5000, 0.7964) and Se at (0.0000, 0.0000, 0.5396).

No. 2
Crystalline ScAlSe3 at its relaxed geometry, computed with PBE.

Its uncorrected formation energy is -2.36 eV per formula unit. For the density of states at the Fermi level, the calculation gives 1.13 states/eV/f.u. The value obtained for the total energy is -4.577 eV per atom. The energy above the most stable polymorph in this dataset is 392 kJ/mol of formula units.

The structure belongs to space group Pm-3m (No. 221); the cell edges are 4.8623, 4.8623 and 4.8623 Å and the angles 90.00°, 90.00° and 90.00°. The inequivalent atoms are Sc at (0.0000, 0.0000, 0.0000), Al at (0.5000, 0.5000, 0.5000) and Se at (0.0000, 0.5000, 0.5000).